i.
# Li3HAu, optimized geometry, DFT PBE-GGA
# Total magnetic moment: 0.7 μB/f.u.
# D(E_F): 1.506 states/eV per cell
data_Li3HAu
_symmetry_space_group_name_H-M 'P 4 m m'
_symmetry_Int_Tables_number 99
_cell_length_a 3.7037
_cell_length_b 3.7037
_cell_length_c 6.6693
_cell_angle_alpha 90.00
_cell_angle_beta 90.00
_cell_angle_gamma 90.00
loop_
_symmetry_equiv_pos_as_xyz
'x,y,z'
'-y,x,z'
'-x,-y,z'
'y,-x,z'
'-x,y,z'
'y,x,z'
'x,-y,z'
'-y,-x,z'
loop_
_atom_site_label
_atom_site_fract_x
_atom_site_fract_y
_atom_site_fract_z
Li1 0.0000 0.0000 0.0000
Li2 0.0000 0.5000 0.6433
H1 0.5000 0.5000 0.7678
Au1 0.0000 0.0000 0.3816

ii.
# Li3HAu, optimized geometry, DFT PBE-GGA
# Total magnetic moment: 0.0 μB/f.u.
# D(E_F): 9.920 states/eV per cell
data_Li3HAu
_symmetry_space_group_name_H-M 'C 1 2/c 1'
_symmetry_Int_Tables_number 15
_cell_length_a 9.4420
_cell_length_b 11.1777
_cell_length_c 4.8961
_cell_angle_alpha 90.00
_cell_angle_beta 91.29
_cell_angle_gamma 90.00
loop_
_symmetry_equiv_pos_as_xyz
'x,y,z'
'-x,-y,-z'
'-x,y,-z+1/2'
'x,-y,z+1/2'
'x+1/2,y+1/2,z'
'-x+1/2,-y+1/2,-z'
'-x+1/2,y+1/2,-z+1/2'
'x+1/2,-y+1/2,z+1/2'
loop_
_atom_site_label
_atom_site_fract_x
_atom_site_fract_y
_atom_site_fract_z
Li1 0.1119 0.1704 0.3997
Li2 0.1225 0.4386 0.4274
Li3 0.1238 0.3116 0.9404
H1 0.0000 0.3134 0.2500
H2 0.0000 0.4351 0.7500
Au1 0.1421 0.0729 0.8879

iii.
# Li3HAu, optimized geometry, DFT PBE-GGA
# Total magnetic moment: 0.0 μB/f.u.
# D(E_F): 5.746 states/eV per cell
data_Li3HAu
_symmetry_space_group_name_H-M 'R -3 m'
_symmetry_Int_Tables_number 166
_symmetry_space_group_name_Hall '-R 3 2"'
_cell_length_a 5.4566
_cell_length_b 5.4566
_cell_length_c 15.0492
_cell_angle_alpha 90.00
_cell_angle_beta 90.00
_cell_angle_gamma 120.00
loop_
_atom_site_label
_atom_site_fract_x
_atom_site_fract_y
_atom_site_fract_z
Li1 0.0048 0.5024 0.4179
H1 0.0000 0.0000 0.1660
Au1 0.0000 0.0000 0.3956

iv.
# Li3HAu, optimized geometry, DFT PBE-GGA
# Total magnetic moment: 0.0 μB/f.u.
# D(E_F): 1.663 states/eV per cell
data_Li3HAu
_symmetry_space_group_name_H-M 'P 1 21/m 1'
_symmetry_Int_Tables_number 11
_cell_length_a 2.7930
_cell_length_b 4.0665
_cell_length_c 10.9802
_cell_angle_alpha 90.00
_cell_angle_beta 90.19
_cell_angle_gamma 90.00
loop_
_symmetry_equiv_pos_as_xyz
'x,y,z'
'-x,-y,-z'
'-x,y+1/2,-z'
'x,-y+1/2,z'
loop_
_atom_site_label
_atom_site_fract_x
_atom_site_fract_y
_atom_site_fract_z
Li1 0.2475 0.2500 0.3085
Li2 0.2491 0.2500 0.0674
Li3 0.2509 0.2500 0.5622
H1 0.2507 0.7500 0.5592
Au1 0.2527 0.2500 0.8145

Decreasing stability: iv, ii, iii, i

i.
# Li3HAu, optimized geometry, DFT PBE-GGA
# Total magnetic moment: 0.0 μB/f.u.
# D(E_F): 3.828 states/eV per cell
data_Li3HAu
_symmetry_space_group_name_H-M 'C 1 2/m 1'
_symmetry_Int_Tables_number 12
_cell_length_a 10.4258
_cell_length_b 9.9422
_cell_length_c 2.7955
_cell_angle_alpha 90.00
_cell_angle_beta 105.23
_cell_angle_gamma 90.00
loop_
_symmetry_equiv_pos_as_xyz
'x,y,z'
'-x,-y,-z'
'-x,y,-z'
'x,-y,z'
'x+1/2,y+1/2,z'
'-x+1/2,-y+1/2,-z'
'-x+1/2,y+1/2,-z'
'x+1/2,-y+1/2,z'
loop_
_atom_site_label
_atom_site_fract_x
_atom_site_fract_y
_atom_site_fract_z
Li1 0.1340 0.0000 0.1342
Li2 0.1562 0.3631 0.1559
H1 0.1823 0.5000 0.6815
Au1 0.0000 0.1870 0.5000

ii.
# Li3HAu, optimized geometry, DFT PBE-GGA
# Total magnetic moment: 0.0 μB/f.u.
# D(E_F): 3.975 states/eV per cell
data_Li3HAu
_symmetry_space_group_name_H-M 'C 1 m 1'
_symmetry_Int_Tables_number 8
_cell_length_a 18.7691
_cell_length_b 2.8810
_cell_length_c 4.6889
_cell_angle_alpha 90.00
_cell_angle_beta 90.96
_cell_angle_gamma 90.00
loop_
_symmetry_equiv_pos_as_xyz
'x,y,z'
'x,-y,z'
'x+1/2,y+1/2,z'
'x+1/2,-y+1/2,z'
loop_
_atom_site_label
_atom_site_fract_x
_atom_site_fract_y
_atom_site_fract_z
Li1 0.0000 0.0000 0.0000
Li2 0.0043 0.5000 0.4921
Li3 0.1246 0.0000 0.6762
Li4 0.1285 0.5000 0.1679
Li5 0.2647 0.0000 0.3223
Li6 0.3639 0.0000 0.8490
H1 0.0592 0.5000 0.8386
H2 0.0695 0.0000 0.3305
Au1 0.2396 0.5000 0.8161
Au2 0.3892 0.5000 0.3550

Decreasing stability: ii, i

i.
# LiH2Au2, optimized geometry, DFT PBE-GGA
# Total magnetic moment: 0.0 μB/f.u.
# D(E_F): 2.011 states/eV per cell
data_LiH2Au2
_symmetry_space_group_name_H-M 'I 4/m m m'
_symmetry_Int_Tables_number 139
_symmetry_space_group_name_Hall '-I 4 2'
_cell_length_a 3.5259
_cell_length_b 3.5259
_cell_length_c 9.4145
_cell_angle_alpha 90.00
_cell_angle_beta 90.00
_cell_angle_gamma 90.00
loop_
_atom_site_label
_atom_site_fract_x
_atom_site_fract_y
_atom_site_fract_z
Li1 0.0000 0.0000 0.0000
H1 0.0000 0.5000 0.2500
Au1 0.0000 0.0000 0.3537

ii.
# LiH2Au2, optimized geometry, DFT PBE-GGA
# Total magnetic moment: 0.0 μB/f.u.
# D(E_F): 1.315 states/eV per cell
data_LiH2Au2
_symmetry_space_group_name_H-M 'P 4/m m m'
_symmetry_Int_Tables_number 123
_symmetry_space_group_name_Hall '-P 4 2'
_cell_length_a 4.1188
_cell_length_b 4.1188
_cell_length_c 3.6700
_cell_angle_alpha 90.00
_cell_angle_beta 90.00
_cell_angle_gamma 90.00
loop_
_atom_site_label
_atom_site_fract_x
_atom_site_fract_y
_atom_site_fract_z
Li1 0.0000 0.0000 0.0000
H1 0.0000 0.5000 0.0000
Au1 0.0000 0.5000 0.5000

iii.
# LiH2Au2, optimized geometry, DFT PBE-GGA
# Total magnetic moment: 0.0 μB/f.u.
# D(E_F): 1.225 states/eV per cell
data_LiH2Au2
_symmetry_space_group_name_H-M 'P 4/m b m'
_symmetry_Int_Tables_number 127
_symmetry_space_group_name_Hall '-P 4 2ab'
_cell_length_a 7.0322
_cell_length_b 7.0322
_cell_length_c 2.7579
_cell_angle_alpha 90.00
_cell_angle_beta 90.00
_cell_angle_gamma 90.00
loop_
_atom_site_label
_atom_site_fract_x
_atom_site_fract_y
_atom_site_fract_z
Li1 0.0000 0.0000 0.0000
H1 0.2440 0.2560 0.5000
Au1 0.1427 0.6427 0.0000

Decreasing stability: ii, i, iii

i.
# Li2HAu2, optimized geometry, DFT PBE-GGA
# Total magnetic moment: 0.2 μB/f.u.
# D(E_F): 1.891 states/eV per cell
data_Li2HAu2
_symmetry_space_group_name_H-M 'P 4/m b m'
_symmetry_Int_Tables_number 127
_symmetry_space_group_name_Hall '-P 4 2ab'
_cell_length_a 7.5072
_cell_length_b 7.5072
_cell_length_c 2.8472
_cell_angle_alpha 90.00
_cell_angle_beta 90.00
_cell_angle_gamma 90.00
loop_
_atom_site_label
_atom_site_fract_x
_atom_site_fract_y
_atom_site_fract_z
Li1 0.1620 0.3380 0.0000
H1 0.0000 0.0000 0.0000
Au1 0.1363 0.6363 0.5000

ii.
# Li2HAu2, optimized geometry, DFT PBE-GGA
# Total magnetic moment: 0.0 μB/f.u.
# D(E_F): 2.020 states/eV per cell
data_Li2HAu2
_symmetry_space_group_name_H-M 'P 4/m b m'
_symmetry_Int_Tables_number 127
_symmetry_space_group_name_Hall '-P 4 2ab'
_cell_length_a 5.6380
_cell_length_b 5.6380
_cell_length_c 4.5227
_cell_angle_alpha 90.00
_cell_angle_beta 90.00
_cell_angle_gamma 90.00
loop_
_atom_site_label
_atom_site_fract_x
_atom_site_fract_y
_atom_site_fract_z
Li1 0.1619 0.3381 0.0000
H1 0.0000 0.0000 0.5000
Au1 0.1711 0.6711 0.5000

iii.
# Li2HAu2, optimized geometry, DFT PBE-GGA
# Total magnetic moment: 0.0 μB/f.u.
# D(E_F): 4.285 states/eV per cell
data_Li2HAu2
_symmetry_space_group_name_H-M 'I 4/m m m'
_symmetry_Int_Tables_number 139
_symmetry_space_group_name_Hall '-I 4 2'
_cell_length_a 3.3394
_cell_length_b 3.3394
_cell_length_c 13.3981
_cell_angle_alpha 90.00
_cell_angle_beta 90.00
_cell_angle_gamma 90.00
loop_
_atom_site_label
_atom_site_fract_x
_atom_site_fract_y
_atom_site_fract_z
Li1 0.0000 0.5000 0.2500
H1 0.0000 0.0000 0.0000
Au1 0.0000 0.0000 0.3966

Decreasing stability: ii, i, iii

i.
# Li2HPbAu, optimized geometry, DFT PBE-GGA
# Total magnetic moment: 0.0 μB/f.u.
# D(E_F): 2.391 states/eV per cell
data_Li2HPbAu
_symmetry_space_group_name_H-M 'P 4/m m m'
_symmetry_Int_Tables_number 123
_symmetry_space_group_name_Hall '-P 4 2'
_cell_length_a 4.5766
_cell_length_b 4.5766
_cell_length_c 3.7149
_cell_angle_alpha 90.00
_cell_angle_beta 90.00
_cell_angle_gamma 90.00
loop_
_atom_site_label
_atom_site_fract_x
_atom_site_fract_y
_atom_site_fract_z
Li1 0.0000 0.5000 0.0000
H1 0.0000 0.0000 0.0000
Pb1 0.5000 0.5000 0.5000
Au1 0.0000 0.0000 0.5000

ii.
# Li2HPbAu, optimized geometry, DFT PBE-GGA
# Total magnetic moment: 0.0 μB/f.u.
# D(E_F): 1.447 states/eV per cell
data_Li2HPbAu
_symmetry_space_group_name_H-M 'P 4/m m m'
_symmetry_Int_Tables_number 123
_symmetry_space_group_name_Hall '-P 4 2'
_cell_length_a 4.2286
_cell_length_b 4.2286
_cell_length_c 4.5622
_cell_angle_alpha 90.00
_cell_angle_beta 90.00
_cell_angle_gamma 90.00
loop_
_atom_site_label
_atom_site_fract_x
_atom_site_fract_y
_atom_site_fract_z
Li1 0.0000 0.5000 0.0000
H1 0.0000 0.0000 0.0000
Pb1 0.0000 0.0000 0.5000
Au1 0.5000 0.5000 0.5000

Decreasing stability: i, ii

i.
# LiHPd2Au, optimized geometry, DFT PBE-GGA
# Total magnetic moment: 0.0 μB/f.u.
# D(E_F): 1.285 states/eV per cell
data_LiHPd2Au
_symmetry_space_group_name_H-M 'P 4/m m m'
_symmetry_Int_Tables_number 123
_symmetry_space_group_name_Hall '-P 4 2'
_cell_length_a 3.9774
_cell_length_b 3.9774
_cell_length_c 4.1148
_cell_angle_alpha 90.00
_cell_angle_beta 90.00
_cell_angle_gamma 90.00
loop_
_atom_site_label
_atom_site_fract_x
_atom_site_fract_y
_atom_site_fract_z
Li1 0.0000 0.0000 0.0000
H1 0.5000 0.5000 0.5000
Pd1 0.0000 0.5000 0.5000
Au1 0.5000 0.5000 0.0000

ii.
# LiHPd2Au, optimized geometry, DFT PBE-GGA
# Total magnetic moment: 0.0 μB/f.u.
# D(E_F): 2.839 states/eV per cell
data_LiHPd2Au
_symmetry_space_group_name_H-M 'P 4/m m m'
_symmetry_Int_Tables_number 123
_symmetry_space_group_name_Hall '-P 4 2'
_cell_length_a 4.2882
_cell_length_b 4.2882
_cell_length_c 4.3473
_cell_angle_alpha 90.00
_cell_angle_beta 90.00
_cell_angle_gamma 90.00
loop_
_atom_site_label
_atom_site_fract_x
_atom_site_fract_y
_atom_site_fract_z
Li1 0.0000 0.0000 0.0000
H1 0.5000 0.5000 0.5000
Pd1 0.0000 0.5000 0.0000
Au1 0.0000 0.0000 0.5000

iii.
# LiHPd2Au, optimized geometry, DFT PBE-GGA
# Total magnetic moment: 0.0 μB/f.u.
# D(E_F): 2.810 states/eV per cell
data_LiHPd2Au
_symmetry_space_group_name_H-M 'P 4/m m m'
_symmetry_Int_Tables_number 123
_symmetry_space_group_name_Hall '-P 4 2'
_cell_length_a 3.9371
_cell_length_b 3.9371
_cell_length_c 4.1127
_cell_angle_alpha 90.00
_cell_angle_beta 90.00
_cell_angle_gamma 90.00
loop_
_atom_site_label
_atom_site_fract_x
_atom_site_fract_y
_atom_site_fract_z
Li1 0.0000 0.0000 0.0000
H1 0.0000 0.0000 0.5000
Pd1 0.0000 0.5000 0.5000
Au1 0.5000 0.5000 0.0000

Decreasing stability: iii, i, ii

i.
# LiHPtAu2, optimized geometry, DFT PBE-GGA
# Total magnetic moment: 0.0 μB/f.u.
# D(E_F): 0.637 states/eV per cell
data_LiHPtAu2
_symmetry_space_group_name_H-M 'P 4/m m m'
_symmetry_Int_Tables_number 123
_symmetry_space_group_name_Hall '-P 4 2'
_cell_length_a 4.3159
_cell_length_b 4.3159
_cell_length_c 3.7056
_cell_angle_alpha 90.00
_cell_angle_beta 90.00
_cell_angle_gamma 90.00
loop_
_atom_site_label
_atom_site_fract_x
_atom_site_fract_y
_atom_site_fract_z
Li1 0.0000 0.0000 0.0000
H1 0.5000 0.5000 0.5000
Pt1 0.5000 0.5000 0.0000
Au1 0.0000 0.5000 0.5000

ii.
# LiHPtAu2, optimized geometry, DFT PBE-GGA
# Total magnetic moment: 0.0 μB/f.u.
# D(E_F): 1.756 states/eV per cell
data_LiHPtAu2
_symmetry_space_group_name_H-M 'P 4/m m m'
_symmetry_Int_Tables_number 123
_symmetry_space_group_name_Hall '-P 4 2'
_cell_length_a 4.0396
_cell_length_b 4.0396
_cell_length_c 4.0996
_cell_angle_alpha 90.00
_cell_angle_beta 90.00
_cell_angle_gamma 90.00
loop_
_atom_site_label
_atom_site_fract_x
_atom_site_fract_y
_atom_site_fract_z
Li1 0.0000 0.0000 0.0000
H1 0.0000 0.0000 0.5000
Pt1 0.5000 0.5000 0.0000
Au1 0.0000 0.5000 0.5000

Decreasing stability: i, ii

i.
# Li2HPtAu, optimized geometry, DFT PBE-GGA
# Total magnetic moment: 0.0 μB/f.u.
# D(E_F): 1.270 states/eV per cell
data_Li2HPtAu
_symmetry_space_group_name_H-M 'P 4/m m m'
_symmetry_Int_Tables_number 123
_symmetry_space_group_name_Hall '-P 4 2'
_cell_length_a 4.0361
_cell_length_b 4.0361
_cell_length_c 3.6945
_cell_angle_alpha 90.00
_cell_angle_beta 90.00
_cell_angle_gamma 90.00
loop_
_atom_site_label
_atom_site_fract_x
_atom_site_fract_y
_atom_site_fract_z
Li1 0.0000 0.5000 0.0000
H1 0.0000 0.0000 0.0000
Pt1 0.0000 0.0000 0.5000
Au1 0.5000 0.5000 0.5000

ii.
# Li2HPtAu, optimized geometry, DFT PBE-GGA
# Total magnetic moment: 0.0 μB/f.u.
# D(E_F): 0.512 states/eV per cell
data_Li2HPtAu
_symmetry_space_group_name_H-M 'P 4/m m m'
_symmetry_Int_Tables_number 123
_symmetry_space_group_name_Hall '-P 4 2'
_cell_length_a 4.0066
_cell_length_b 4.0066
_cell_length_c 3.7514
_cell_angle_alpha 90.00
_cell_angle_beta 90.00
_cell_angle_gamma 90.00
loop_
_atom_site_label
_atom_site_fract_x
_atom_site_fract_y
_atom_site_fract_z
Li1 0.0000 0.5000 0.0000
H1 0.0000 0.0000 0.0000
Pt1 0.5000 0.5000 0.5000
Au1 0.0000 0.0000 0.5000

Decreasing stability: i, ii

i.
# LiHRh2Au, optimized geometry, DFT PBE-GGA
# Total magnetic moment: 0.0 μB/f.u.
# D(E_F): 4.314 states/eV per cell
data_LiHRh2Au
_symmetry_space_group_name_H-M 'P 4/m m m'
_symmetry_Int_Tables_number 123
_symmetry_space_group_name_Hall '-P 4 2'
_cell_length_a 3.8760
_cell_length_b 3.8760
_cell_length_c 4.0208
_cell_angle_alpha 90.00
_cell_angle_beta 90.00
_cell_angle_gamma 90.00
loop_
_atom_site_label
_atom_site_fract_x
_atom_site_fract_y
_atom_site_fract_z
Li1 0.0000 0.0000 0.0000
H1 0.0000 0.0000 0.5000
Rh1 0.0000 0.5000 0.5000
Au1 0.5000 0.5000 0.0000

ii.
# LiHRh2Au, optimized geometry, DFT PBE-GGA
# Total magnetic moment: 0.3 μB/f.u.
# D(E_F): 5.369 states/eV per cell
data_LiHRh2Au
_symmetry_space_group_name_H-M 'P 4/m m m'
_symmetry_Int_Tables_number 123
_symmetry_space_group_name_Hall '-P 4 2'
_cell_length_a 3.8544
_cell_length_b 3.8544
_cell_length_c 4.1874
_cell_angle_alpha 90.00
_cell_angle_beta 90.00
_cell_angle_gamma 90.00
loop_
_atom_site_label
_atom_site_fract_x
_atom_site_fract_y
_atom_site_fract_z
Li1 0.0000 0.0000 0.0000
H1 0.5000 0.5000 0.5000
Rh1 0.0000 0.5000 0.5000
Au1 0.5000 0.5000 0.0000

Decreasing stability: i, ii

i.
# Li2SbHAu, optimized geometry, DFT PBE-GGA
# Total magnetic moment: 0.0 μB/f.u.
# D(E_F): 2.283 states/eV per cell
data_Li2SbHAu
_symmetry_space_group_name_H-M 'P 4/m m m'
_symmetry_Int_Tables_number 123
_symmetry_space_group_name_Hall '-P 4 2'
_cell_length_a 4.1780
_cell_length_b 4.1780
_cell_length_c 4.3115
_cell_angle_alpha 90.00
_cell_angle_beta 90.00
_cell_angle_gamma 90.00
loop_
_atom_site_label
_atom_site_fract_x
_atom_site_fract_y
_atom_site_fract_z
Li1 0.0000 0.5000 0.0000
Sb1 0.0000 0.0000 0.5000
H1 0.0000 0.0000 0.0000
Au1 0.5000 0.5000 0.5000

ii.
# Li2SbHAu, optimized geometry, DFT PBE-GGA
# Total magnetic moment: 0.0 μB/f.u.
# D(E_F): 1.620 states/eV per cell
data_Li2SbHAu
_symmetry_space_group_name_H-M 'P 4/m m m'
_symmetry_Int_Tables_number 123
_symmetry_space_group_name_Hall '-P 4 2'
_cell_length_a 4.3182
_cell_length_b 4.3182
_cell_length_c 3.9211
_cell_angle_alpha 90.00
_cell_angle_beta 90.00
_cell_angle_gamma 90.00
loop_
_atom_site_label
_atom_site_fract_x
_atom_site_fract_y
_atom_site_fract_z
Li1 0.0000 0.5000 0.0000
Sb1 0.0000 0.0000 0.5000
H1 0.5000 0.5000 0.0000
Au1 0.5000 0.5000 0.5000

Decreasing stability: ii, i